## Tl2CoI2 (PBE)

Data for Tl2CoI2 after structural relaxation.

Output
size of the total moment	0.27	μB per atom
VASP energy	-2.8499	eV per atom

a = 7.2567 Å, b = 7.2567 Å, c = 6.1403 Å
α = 90.00°, β = 90.00°, γ = 90.00°
Space group P4/mbm (No. 127)
Inequivalent atoms, fractional coordinates:
Tl: 0.1759 0.3241 0.0000 [4 per cell]
Co: 0.0000 0.0000 0.5000 [2 per cell]
I: 0.1841 0.6841 0.5000 [4 per cell]


## UCoI2 (PBE)

Data for UCoI2 after structural relaxation.

Output
size of the total moment	1.41	μB per atom
VASP energy	-4.8820	eV per atom

a = 3.7404 Å, b = 3.7404 Å, c = 28.2345 Å
α = 90.00°, β = 90.00°, γ = 120.00°
Space group R-3m (No. 166, hexagonal axes)
Inequivalent atoms, fractional coordinates:
U: 0.0000 0.0000 0.0000 [3 per cell]
Co: 0.0000 0.0000 0.5000 [3 per cell]
I: 0.0000 0.0000 0.1102 [6 per cell]


## VCo3I (PBE)

Data for VCo3I after structural relaxation.

Output
size of the total moment	0.13	μB per atom
VASP energy	-5.1602	eV per atom

a = 4.3484 Å, b = 4.3484 Å, c = 4.3484 Å
α = 90.00°, β = 90.00°, γ = 90.00°
Space group Pm-3m (No. 221)
Inequivalent atoms, fractional coordinates:
V: 0.0000 0.0000 0.0000 [1 per cell]
Co: 0.0000 0.0000 0.5000 [3 per cell]
I: 0.5000 0.5000 0.5000 [1 per cell]